MnZnCdF6 | PBE with a Hubbard U | relaxed

Output
E in eV per atom: -4.69

a = 5.526 Å, b = 5.526 Å, c = 9.234 Å
α = 90.00°, β = 90.00°, γ = 120.00°
Fractional positions:
1 Mn 0.000 0.000 0.000
2 Mn 0.000 0.000 0.500
3 Zn 0.333 0.667 0.250
4 Zn 0.667 0.333 0.750
5 Cd 0.333 0.667 0.750
6 Cd 0.667 0.333 0.250
7 F 0.027 0.343 0.128
8 F 0.027 0.684 0.372
9 F 0.316 0.343 0.372
10 F 0.316 0.973 0.128
11 F 0.343 0.027 0.628
12 F 0.343 0.316 0.872
13 F 0.657 0.684 0.128
14 F 0.657 0.973 0.372
15 F 0.684 0.027 0.872
16 F 0.684 0.657 0.628
17 F 0.973 0.316 0.628
18 F 0.973 0.657 0.872